a.
Density functional theory data (PBE+U) for crystalline MnFe2O3 at its relaxed geometry.

Summary:
DOS(E_F): 0.81 states/eV/cell
Spin magnetization: 25.98 Bohr magnetons per cell
Space-group type: Cc

Lattice parameters (Å, degrees): 5.9032 5.9032 5.7404 97.28 97.28 121.98
Closest atoms and distances in Å follow each position.
Sites, in units of the cell vectors:
Mn 0.0988 0.9216 0.5047  4 O 2.09-2.11
Mn 0.9216 0.0988 0.0047  4 O 2.09-2.11
Fe 0.5877 0.4274 0.0138  4 O 2.04-2.09
Fe 0.7667 0.2605 0.5134  4 O 2.04-2.07
Fe 0.4274 0.5877 0.5138  4 O 2.04-2.09
Fe 0.2605 0.7667 0.0134  4 O 2.04-2.07
O 0.0571 0.2198 0.3805  2 Fe 2.05-2.07, 2 Mn 2.09-2.10
O 0.2198 0.0571 0.8805  2 Fe 2.05-2.07, 2 Mn 2.09-2.10
O 0.8886 0.4032 0.8789  3 Fe 2.04-2.09, 1 Mn 2.11
O 0.4032 0.8886 0.3789  3 Fe 2.04-2.09, 1 Mn 2.11
O 0.5460 0.7176 0.8800  3 Fe 2.04-2.08, 1 Mn 2.10
O 0.7176 0.5460 0.3800  3 Fe 2.04-2.08, 1 Mn 2.10

b.
Density functional theory data (PBE+U) for crystalline MnFe2O3 at its relaxed geometry.

Summary:
DOS(E_F): 0.58 states/eV/cell
Spin magnetization: 26.00 Bohr magnetons per cell
Space-group type: Cmmm

Lattice parameters (Å, degrees): 6.9736 6.9736 4.4562 90.00 90.00 142.73
Closest atoms and distances in Å follow each position.
Sites, in units of the cell vectors:
Mn 0.6652 0.3348 0.0000  6 O 2.18-2.26
Mn 0.3348 0.6652 0.0000  6 O 2.18-2.26
Fe 0.1690 0.8310 0.5000  6 O 2.14-2.23
Fe 0.8310 0.1690 0.5000  6 O 2.14-2.23
Fe 0.0000 0.0000 0.0000  6 O 2.17-2.23
Fe 0.5000 0.5000 0.5000  6 O 2.23-2.24
O 0.6694 0.3306 0.5000  4 Fe 2.14-2.24, 2 Mn 2.23
O 0.1642 0.8358 0.0000  3 Fe 2.17-2.23, 3 Mn 2.23-2.26
O 0.3306 0.6694 0.5000  4 Fe 2.14-2.24, 2 Mn 2.23
O 0.8358 0.1642 0.0000  3 Fe 2.17-2.23, 3 Mn 2.23-2.26
O 0.5000 0.5000 0.0000  2 Mn 2.18, 4 Fe 2.23
O 0.0000 0.0000 0.5000  6 Fe 2.23

Most stable of them? b.

a.
Density functional theory data (PBE+U) for crystalline MnFe2O at its relaxed geometry.

Summary:
DOS(E_F): 4.14 states/eV/cell
Spin magnetization: 23.95 Bohr magnetons per cell
Space-group type: I-42d

Lattice parameters (Å, degrees): 6.0190 6.0190 5.9154 59.42 59.42 90.00
Closest atoms and distances in Å follow each position.
Sites, in units of the cell vectors:
Mn 0.0000 0.0000 0.0000  4 Fe 2.92
Mn 0.7500 0.2500 0.5000  4 Fe 2.92
Fe 0.4953 0.1250 0.2500  2 O 1.96
Fe 0.2547 0.6250 0.2500  2 O 1.96
Fe 0.3750 0.5047 0.7500  2 O 1.96
Fe 0.8750 0.7453 0.7500  2 O 1.96
O 0.5000 0.5000 0.0000  4 Fe 1.96
O 0.2500 0.7500 0.5000  4 Fe 1.96

b.
Density functional theory data (PBE+U) for crystalline MnFe2O at its relaxed geometry.

Summary:
DOS(E_F): 1.81 states/eV/cell
Spin magnetization: 10.99 Bohr magnetons per cell
Space-group type: Fm-3m

Lattice parameters (Å, degrees): 4.3212 4.3212 4.3212 60.00 60.00 60.00
Closest atoms and distances in Å follow each position.
Sites, in units of the cell vectors:
Mn 0.5000 0.5000 0.5000  8 Fe 2.65
Fe 0.2500 0.2500 0.2500  4 O 2.65, 4 Mn 2.65
Fe 0.7500 0.7500 0.7500  4 O 2.65, 4 Mn 2.65
O 0.0000 0.0000 0.0000  8 Fe 2.65

Most stable of them? a.

a.
Density functional theory data (PBE+U) for crystalline Mn3FeO8 at its relaxed geometry.

Summary:
DOS(E_F): 10.78 states/eV/cell
Spin magnetization: 26.00 Bohr magnetons per cell
Space-group type: P6_3mc

Lattice parameters (Å, degrees): 5.7951 5.7951 9.0882 90.00 90.00 120.00
Closest atoms and distances in Å follow each position.
Sites, in units of the cell vectors:
Mn 0.1675 0.8325 0.2116  6 O 1.93-1.94
Mn 0.1675 0.3349 0.2116  6 O 1.93-1.94
Mn 0.6651 0.8325 0.2116  6 O 1.93-1.94
Mn 0.3349 0.1675 0.7116  6 O 1.93-1.94
Mn 0.8325 0.6651 0.7116  6 O 1.93-1.94
Mn 0.8325 0.1675 0.7116  6 O 1.93-1.94
Fe 0.3333 0.6667 0.4942  6 O 1.96-2.06
Fe 0.6667 0.3333 0.9942  6 O 1.96-2.06
O 0.1637 0.8363 0.6016  2 Mn 1.94, 1 Fe 1.96
O 0.0411 0.5205 0.3350  2 Mn 1.93, 1 Fe 2.06
O 0.3333 0.6667 0.1035  3 Mn 1.93
O 0.0000 0.0000 0.3154  3 Mn 1.93
O 0.0000 0.0000 0.8154  3 Mn 1.93
O 0.1637 0.3274 0.6016  2 Mn 1.94, 1 Fe 1.96
O 0.4795 0.9589 0.3350  2 Mn 1.93, 1 Fe 2.06
O 0.4795 0.5205 0.3350  2 Mn 1.93, 1 Fe 2.06
O 0.3274 0.1637 0.1016  2 Mn 1.94, 1 Fe 1.96
O 0.6726 0.8363 0.6016  2 Mn 1.94, 1 Fe 1.96
O 0.5205 0.4795 0.8350  2 Mn 1.93, 1 Fe 2.06
O 0.5205 0.0411 0.8350  2 Mn 1.93, 1 Fe 2.06
O 0.6667 0.3333 0.6035  3 Mn 1.93
O 0.8363 0.6726 0.1016  2 Mn 1.94, 1 Fe 1.96
O 0.9589 0.4795 0.8350  2 Mn 1.93, 1 Fe 2.06
O 0.8363 0.1637 0.1016  2 Mn 1.94, 1 Fe 1.96

b.
Density functional theory data (PBE+U) for crystalline Mn3FeO8 at its relaxed geometry.

Summary:
DOS(E_F): 3.44 states/eV/cell
Spin magnetization: 13.00 Bohr magnetons per cell
Space-group type: R-3m

Lattice parameters (Å, degrees): 6.0040 6.0040 6.0040 58.81 58.81 58.81
Closest atoms and distances in Å follow each position.
Sites, in units of the cell vectors:
Mn 0.5000 0.5000 0.0000  6 O 1.94-1.96
Mn 0.0000 0.5000 0.5000  6 O 1.94-1.96
Mn 0.5000 0.0000 0.5000  6 O 1.94-1.96
Fe 0.0000 0.0000 0.0000  6 O 1.99
O 0.2684 0.2684 0.2684  3 Mn 1.96
O 0.7652 0.7652 0.2757  2 Mn 1.94, 1 Fe 1.99
O 0.2757 0.7652 0.7652  2 Mn 1.94, 1 Fe 1.99
O 0.7316 0.7316 0.7316  3 Mn 1.96
O 0.7652 0.2757 0.7652  2 Mn 1.94, 1 Fe 1.99
O 0.2348 0.2348 0.7243  2 Mn 1.94, 1 Fe 1.99
O 0.7243 0.2348 0.2348  2 Mn 1.94, 1 Fe 1.99
O 0.2348 0.7243 0.2348  2 Mn 1.94, 1 Fe 1.99

Most stable of them? a.

a.
Density functional theory data (PBE+U) for crystalline MnFeO2 at its relaxed geometry.

Summary:
Spin magnetization: 9.00 Bohr magnetons per cell
Space-group type: C2/m

Lattice parameters (Å, degrees): 3.1562 3.1681 5.3998 73.96 73.01 60.12
Closest atoms and distances in Å follow each position.
Sites, in units of the cell vectors:
Mn 0.0000 0.0000 0.0000  6 O 2.24-2.25
Fe 0.5000 0.5000 0.5000  6 O 2.18-2.27
O 0.2398 0.2638 0.2566  3 Fe 2.18-2.27, 3 Mn 2.24-2.25
O 0.7602 0.7362 0.7434  3 Fe 2.18-2.27, 3 Mn 2.24-2.25

b.
Density functional theory data (PBE+U) for crystalline MnFeO2 at its relaxed geometry.

Summary:
DOS(E_F): 2.45 states/eV/cell
Spin magnetization: 9.01 Bohr magnetons per cell
Space-group type: P4/mmm

Lattice parameters (Å, degrees): 3.1175 3.1175 4.4858 90.00 90.00 90.00
Closest atoms and distances in Å follow each position.
Sites, in units of the cell vectors:
Mn 0.5000 0.5000 0.5000  6 O 2.20-2.24
Fe 0.0000 0.0000 0.0000  6 O 2.20-2.24
O 0.0000 0.0000 0.5000  4 Mn 2.20, 2 Fe 2.24
O 0.5000 0.5000 0.0000  4 Fe 2.20, 2 Mn 2.24

Most stable of them? a.

a.
Density functional theory data (PBE+U) for crystalline MnFeO2 at its relaxed geometry.

Summary:
DOS(E_F): 0.02 states/eV/cell
Spin magnetization: 9.00 Bohr magnetons per cell
Space-group type: R-3m

Lattice parameters (Å, degrees): 6.1161 6.1161 6.1161 29.59 29.59 29.59
Closest atoms and distances in Å follow each position.
Sites, in units of the cell vectors:
Mn 0.0000 0.0000 0.0000  2 O 1.91
Fe 0.5000 0.5000 0.5000  6 O 2.07
O 0.8912 0.8912 0.8912  1 Mn 1.91, 3 Fe 2.07
O 0.1088 0.1088 0.1088  1 Mn 1.91, 3 Fe 2.07

b.
Density functional theory data (PBE+U) for crystalline MnFeO2 at its relaxed geometry.

Summary:
DOS(E_F): 2.92 states/eV/cell
Spin magnetization: 2.00 Bohr magnetons per cell
Space-group type: I-42d

Lattice parameters (Å, degrees): 4.8258 4.8258 5.5378 64.17 64.17 90.00
Closest atoms and distances in Å follow each position.
Sites, in units of the cell vectors:
Mn 0.5000 0.5000 0.0000  4 O 2.03
Mn 0.2500 0.7500 0.5000  4 O 2.03
Fe 0.0000 0.0000 0.0000  4 O 2.02
Fe 0.7500 0.2500 0.5000  4 O 2.02
O 0.6265 0.1250 0.2500  2 Fe 2.02, 2 Mn 2.03
O 0.1235 0.6250 0.2500  2 Fe 2.02, 2 Mn 2.03
O 0.3750 0.3735 0.7500  2 Fe 2.02, 2 Mn 2.03
O 0.8750 0.8765 0.7500  2 Fe 2.02, 2 Mn 2.03

Most stable of them? a.

a.
Density functional theory data (PBE+U) for crystalline MnFeO2 at its relaxed geometry.

Summary:
DOS(E_F): 2.53 states/eV/cell
Spin magnetization: 5.00 Bohr magnetons per cell
Space-group type: Fm-3m

Lattice parameters (Å, degrees): 3.8658 3.8658 3.8658 60.00 60.00 60.00
Closest atoms and distances in Å follow each position.
Sites, in units of the cell vectors:
Mn 0.0000 0.0000 0.0000  8 O 2.37
Fe 0.5000 0.5000 0.5000  8 O 2.37
O 0.2500 0.2500 0.2500  4 Mn 2.37, 4 Fe 2.37
O 0.7500 0.7500 0.7500  4 Mn 2.37, 4 Fe 2.37

b.
Density functional theory data (PBE+U) for crystalline MnFeO2 at its relaxed geometry.

Summary:
Spin magnetization: 36.00 Bohr magnetons per cell
Space-group type: I4_1/amd

Lattice parameters (Å, degrees): 4.5162 4.5162 8.7011 90.00 90.00 90.00
Closest atoms and distances in Å follow each position.
Sites, in units of the cell vectors:
Mn 0.2498 0.5000 0.6250  6 O 2.24-2.26
Mn 0.7502 0.5000 0.3750  6 O 2.24-2.26
Mn 0.2498 0.0000 0.8750  6 O 2.24-2.26
Mn 0.7502 0.0000 0.1250  6 O 2.24-2.26
Fe 0.2502 0.0000 0.3750  6 O 2.11-2.26
Fe 0.7498 0.0000 0.6250  6 O 2.11-2.26
Fe 0.2502 0.5000 0.1250  6 O 2.11-2.26
Fe 0.7498 0.5000 0.8750  6 O 2.11-2.26
O 0.7497 0.0000 0.8678  3 Fe 2.11-2.26, 3 Mn 2.24-2.26
O 0.2503 0.0000 0.1322  3 Fe 2.11-2.26, 3 Mn 2.24-2.26
O 0.7497 0.5000 0.6322  3 Fe 2.11-2.26, 3 Mn 2.24-2.26
O 0.2503 0.5000 0.3678  3 Fe 2.11-2.26, 3 Mn 2.24-2.26
O 0.7502 0.5000 0.1178  3 Fe 2.11-2.26, 3 Mn 2.24-2.26
O 0.2498 0.5000 0.8822  3 Fe 2.11-2.26, 3 Mn 2.24-2.26
O 0.7502 0.0000 0.3822  3 Fe 2.11-2.26, 3 Mn 2.24-2.26
O 0.2498 0.0000 0.6178  3 Fe 2.11-2.26, 3 Mn 2.24-2.26

Most stable of them? b.

a.
Density functional theory data (PBE+U) for crystalline MnFe2P2O18 at its relaxed geometry.

Summary:
DOS(E_F): 2.44 states/eV/cell
Spin magnetization: 16.98 Bohr magnetons per cell
Space-group type: P-1

Lattice parameters (Å, degrees): 5.3158 7.0950 10.0761 96.86 98.98 109.47
Closest atoms and distances in Å follow each position.
Sites, in units of the cell vectors:
Mn 0.5000 0.5000 0.5000  6 O 1.87-2.00
Fe 0.0000 0.0000 0.0000  4 O 1.80-1.88
Fe 0.0000 0.5000 0.0000  6 O 1.92-2.02
P 0.4741 0.4053 0.1767  4 O 1.51-1.58
P 0.5259 0.5947 0.8233  4 O 1.51-1.58
O 0.5905 0.4290 0.3340  1 P 1.58
O 0.4095 0.5710 0.6660  1 P 1.58
O 0.7184 0.4953 0.1141  1 P 1.51
O 0.2816 0.5047 0.8859  1 P 1.51
O 0.3270 0.1718 0.1196  1 P 1.57
O 0.6730 0.8282 0.8804  1 P 1.57
O 0.2688 0.5169 0.1652  1 P 1.55
O 0.7312 0.4831 0.8348  1 P 1.55
O 0.7913 0.9357 0.2246  1 O 1.23
O 0.2087 0.0643 0.7754  1 O 1.23
O 0.2404 0.2156 0.4828  1 O 1.32
O 0.7596 0.7844 0.5172  1 O 1.32
O 0.1077 0.3250 0.4300  1 O 1.32
O 0.8923 0.6750 0.5700  1 O 1.32
O 0.6192 0.9714 0.2819  1 O 1.23
O 0.3808 0.0286 0.7181  1 O 1.23
O 0.1109 0.7904 0.0254  2 Fe 1.80-1.92
O 0.8891 0.2096 0.9746  2 Fe 1.80-1.92

b.
Density functional theory data (PBE+U) for crystalline MnFe2P2O18 at its relaxed geometry.

Summary:
DOS(E_F): 6.43 states/eV/cell
Spin magnetization: 12.90 Bohr magnetons per cell
Space-group type: P-1

Lattice parameters (Å, degrees): 5.3318 7.4677 9.8158 102.18 102.45 107.89
Closest atoms and distances in Å follow each position.
Sites, in units of the cell vectors:
Mn 0.0000 0.0000 0.0000  6 O 1.88-1.92
Fe 0.5000 0.0000 0.5000  6 O 1.98-2.08
Fe 0.5000 0.5000 0.5000  4 O 1.87-1.91
P 0.0114 0.8992 0.6737  4 O 1.52-1.57
P 0.9886 0.1008 0.3263  4 O 1.52-1.57
O 0.8066 0.0097 0.6646  1 P 1.56
O 0.1934 0.9903 0.3354  1 P 1.56
O 0.8634 0.6819 0.5759  1 P 1.55
O 0.1366 0.3181 0.4241  1 P 1.55
O 0.1144 0.9021 0.8364  1 P 1.57
O 0.8856 0.0979 0.1636  1 P 1.57
O 0.7381 0.0015 0.3711  1 P 1.52
O 0.2619 0.9985 0.6289  1 P 1.52
O 0.6256 0.3057 0.5579  1 O 1.72, 1 Fe 1.91
O 0.3744 0.6943 0.4421  1 O 1.72, 1 Fe 1.91
O 0.9201 0.5472 0.2490  1 O 1.22
O 0.0799 0.4528 0.7510  1 O 1.22
O 0.1999 0.2675 0.0300  1 Mn 1.88
O 0.8001 0.7325 0.9700  1 Mn 1.88
O 0.2312 0.9008 0.1081  1 Mn 1.88
O 0.7688 0.0992 0.8919  1 Mn 1.88
O 0.8335 0.4078 0.7368  1 O 1.22
O 0.1665 0.5922 0.2632  1 O 1.22

Most stable of them? a.

a.
Density functional theory data (PBE+U) for crystalline MnFePO2 at its relaxed geometry.

Summary:
DOS(E_F): 2.29 states/eV/cell
Spin magnetization: 7.42 Bohr magnetons per cell
Space-group type: P4/mmm

Lattice parameters (Å, degrees): 3.7162 3.7162 4.9992 90.00 90.00 90.00
Closest atoms and distances in Å follow each position.
Sites, in units of the cell vectors:
P 0.0000 0.0000 0.5000  2 Mn 2.50, 4 Fe 2.63
Mn 0.0000 0.0000 0.0000  4 O 1.86
Fe 0.5000 0.5000 0.5000  4 P 2.63
O 0.0000 0.5000 0.0000  2 Mn 1.86
O 0.5000 0.0000 0.0000  2 Mn 1.86

b.
Density functional theory data (PBE+U) for crystalline MnFePO2 at its relaxed geometry.

Summary:
DOS(E_F): 1.43 states/eV/cell
Spin magnetization: 8.50 Bohr magnetons per cell
Space-group type: P4/mmm

Lattice parameters (Å, degrees): 3.7373 3.7373 5.0713 90.00 90.00 90.00
Closest atoms and distances in Å follow each position.
Sites, in units of the cell vectors:
P 0.0000 0.0000 0.5000  2 Fe 2.54, 4 Mn 2.64
Mn 0.5000 0.5000 0.5000  4 P 2.64
Fe 0.0000 0.0000 0.0000  4 O 1.87
O 0.0000 0.5000 0.0000  2 Fe 1.87
O 0.5000 0.0000 0.0000  2 Fe 1.87

Most stable of them? b.